A relaxed structure of ZnCr2Ni. Source: Alexandria, functional GGA-PBE.

```
ZnCr2Ni
1.0
-0.331 -0.866 -2.286
-1.037 -2.037 0.928
-6.996 3.433 -0.287
Zn Cr Ni
1 2 1
Direct
0.500 0.500 0.750
0.000 0.000 0.487
0.000 0.000 0.013
0.500 0.500 0.250
```

Properties
The calculated volume comes out at 11.86 Å³/atom. Its space group is No. 65. For the energy, the calculation gives -6.44 eV/atom. The value obtained for the size of the total moment is 0.000 μB/cell.